Entry from the Alexandria database: an optimized crystal structure of WO2 (PBE+U).

It has space group I4/m (No. 87), with a = 10.691 Å, b = 10.691 Å, c = 3.303 Å, α = 90.00°, β = 90.00° and γ = 90.00°. The distinct sites, in fractional coordinates, are W at (0.157, 0.658, 0.000), O at (0.034, 0.338, 0.000) and O at (0.161, 0.784, 0.500).

The value obtained for the density of states at the Fermi level is 0.0000 states/eV per atom. For the total energy, the calculation gives -7.61 eV per atom. The calculation puts the total magnetic moment at 16.00 μB/cell.